[1]
Below is crystalline K3RuRh at its relaxed geometry, with properties calculated at the GGA-PBE level.

Properties
Energy relative to the elements in eV per atom: 1.674
Total energy in eV/atom: -2.3104
Size of the total moment in μB/f.u.: 1.4

Lattice parameters (Å, degrees): 5.6756 5.6756 5.6756 90.00 90.00 90.00
Space group Pm-3m (No. 221)
Asymmetric unit:
K (0.0000, 0.0000, 0.5000) (multiplicity 3)
Ru (0.0000, 0.0000, 0.0000) (multiplicity 1)
Rh (0.5000, 0.5000, 0.5000) (multiplicity 1)


[2]
Below is crystalline KRuRh3 at its relaxed geometry, with properties calculated at the GGA-PBE level.

Properties
Excess energy over the best structure of this formula in the dataset in meV per atom: 1665
Energy relative to the elements in eV per atom: 2.669
Total energy in eV/atom: -3.8162
Size of the total moment in μB/f.u.: 0.0

Lattice parameters (Å, degrees): 4.5554 4.5554 4.5554 90.00 90.00 90.00
Space group Pm-3m (No. 221)
Asymmetric unit:
K (0.0000, 0.0000, 0.0000) (multiplicity 1)
Ru (0.5000, 0.5000, 0.5000) (multiplicity 1)
Rh (0.0000, 0.0000, 0.5000) (multiplicity 3)


[3]
Below is crystalline KRuRh3 at its relaxed geometry, with properties calculated at the GGA-PBE level.

Properties
Excess energy over the best structure of this formula in the dataset in meV per atom: 0
Energy relative to the elements in eV per atom: 1.004
Total energy in eV/atom: -5.4815
Size of the total moment in μB/f.u.: 0.0

Lattice parameters (Å, degrees): 4.7791 4.7791 4.7791 90.00 90.00 90.00
Space group Pm-3m (No. 221)
Asymmetric unit:
K (0.0000, 0.0000, 0.0000) (multiplicity 1)
Ru (0.5000, 0.5000, 0.5000) (multiplicity 1)
Rh (0.0000, 0.5000, 0.5000) (multiplicity 3)


[4]
Below is crystalline KRuRh2S at its relaxed geometry, with properties calculated at the GGA-PBE level.

Properties
Total energy in eV/atom: -5.4891
Formation energy from raw total energies in eV/atom: 0.352
Size of the total moment in μB/f.u.: 0.0

Lattice parameters (Å, degrees): 4.5350 4.5350 4.4357 90.00 90.00 90.00
Space group P4/mmm (No. 123)
Asymmetric unit:
K (0.0000, 0.0000, 0.0000) (multiplicity 1)
Ru (0.5000, 0.5000, 0.0000) (multiplicity 1)
Rh (0.0000, 0.5000, 0.5000) (multiplicity 2)
S (0.5000, 0.5000, 0.5000) (multiplicity 1)